The following is a DFT calculation (PBE-GGA) of a relaxed structure of Pr2Nd2SmY4.

Properties
Mass density: 5.8 g cm⁻³
Energy relative to the elements: 0.0 kcal/mol of atoms
Size of the total moment: 0.000 μB per formula unit

Lattice parameters (Å, degrees): 19.020 3.667 9.751 90.00 115.75 90.00
Space group C2/m (No. 12)
Inequivalent atoms, fractional coordinates:
Pr1 0.166 0.000 0.001 x4
Nd1 0.148 0.500 0.663 x4
Sm1 0.000 0.500 0.000 x2
Y1 0.020 0.000 0.333 x4
Y2 0.185 0.500 0.336 x4